# 1
NbCuWO6 | PBE+U | relaxed

abc: 5.216 5.216 9.233
angles: 90.00 90.00 120.00
Fractional positions:
Nb1 0.667 0.333 0.250
Nb2 0.333 0.667 0.750
Cu1 0.000 0.000 0.000
Cu2 0.000 0.000 0.500
W1 0.333 0.667 0.250
W2 0.667 0.333 0.750
O1 0.639 0.649 0.134
O2 0.010 0.361 0.134
O3 0.361 0.010 0.634
O4 0.990 0.639 0.866
O5 0.351 0.361 0.366
O6 0.010 0.649 0.366
O7 0.649 0.010 0.866
O8 0.639 0.990 0.366
O9 0.990 0.351 0.634
O10 0.351 0.990 0.134
O11 0.649 0.639 0.634
O12 0.361 0.351 0.866

* energy: -7.491 eV/atom
* M_tot: 0.000 μB/cell


# 2
NbCuW2O | PBE+U | relaxed

abc: 5.414 3.861 5.414
angles: 90.00 90.00 90.00
Site moments in Bohr magnetons follow the coordinates.
Fractional positions:
O1 0.000 0.500 0.000  0.18
Nb1 0.000 0.000 0.000  -0.61
Cu1 0.500 0.500 0.500  0.02
W1 0.000 0.000 0.500  2.96
W2 0.500 0.000 0.000  3.09

* energy: -5.516 eV/atom
* M_tot: 6.724 μB/cell